First-principles (PBE-GGA) data for crystalline CoOs2Au at its relaxed geometry, as listed in Alexandria via LeMat-Bulk.

a = 2.7594 Å, b = 2.7594 Å, c = 7.5850 Å
α = 90.00°, β = 90.00°, γ = 90.00°
With the nearest neighbours (Å) after each atom.
Atoms (fractional coordinates):
Co  0.0000  0.0000  0.0000  4 Os 2.61, 4 Au 2.73, 4 Co 2.76
Os  0.0000  0.0000  0.4630  8 Os 2.64-2.76, 4 Au 2.91
Os  0.5000  0.5000  0.2293  4 Co 2.61, 8 Os 2.64-2.76
Au  0.5000  0.5000  0.7476  4 Co 2.73, 4 Au 2.76, 4 Os 2.91

## Properties
Its crystal system is tetragonal. Its total energy is -7.890 eV per atom. As for the symmetry: P4mm (99). The calculation puts the formation energy at 0.321 eV per atom. The value obtained for the magnetic moment is 1.3 μB/cell.